No. 1
## Nb3OsSe (GGA-PBE)

Data for a relaxed structure of Nb3OsSe.

Lattice parameters (Å, degrees): 4.884 4.884 4.884 90.00 90.00 90.00
Atoms (fractional coordinates):
Os1 0.000 0.000 0.000
Nb1 0.500 0.000 0.000
Se1 0.500 0.500 0.500
Nb2 0.000 0.000 0.500
Nb3 0.000 0.500 0.000

Summary:
As for the space group: Pm-3m (221). For the calculated volume, the calculation gives 23.30 A^3/atom. Its uncorrected formation energy is 96.47 kJ per mole of atoms.

=====

No. 2
## Na3DyTh3Se8 (GGA-PBE)

Data for a relaxed structure of Na3DyTh3Se8.

Lattice parameters (Å, degrees): 8.368 8.369 8.623 119.04 90.00 120.00
Atoms (fractional coordinates):
Se1 0.241 0.483 0.732
Se2 0.759 0.517 0.268
Th1 0.500 0.500 0.500
Se3 0.252 0.503 0.255
Se4 0.759 0.009 0.268
Na1 0.500 0.500 0.000
Se5 0.748 0.497 0.745
Se6 0.750 0.991 0.732
Th2 0.500 0.000 0.500
Na2 0.000 0.500 0.000
Se7 0.241 0.991 0.732
Dy1 0.000 0.000 0.500
Se8 0.250 0.009 0.268
Th3 0.000 0.500 0.500
Na3 0.000 0.000 0.000

Summary:
As for the space group: R-3m (166). For the calculated volume, the calculation gives 28.87 A^3/atom. Its uncorrected formation energy is -151.83 kJ per mole of atoms.

=====

No. 3
## RbMg3Be (GGA-PBE)

Data for a relaxed structure of RbMg3Be.

Lattice parameters (Å, degrees): 7.166 7.166 7.166 90.00 90.00 90.00
Atoms (fractional coordinates):
Mg1 0.500 0.000 0.000
Mg2 0.000 0.000 0.500
Be1 0.500 0.500 0.500
Mg3 0.000 0.500 0.000
Rb1 0.000 0.000 0.000

Summary:
As for the formation energy: 1.529 eV per atom. As for the space group: Pm-3m (221). For the calculated volume, the calculation gives 73.60 A^3/atom.

=====

No. 4
## U6GeSe12 (GGA-PBE)

Data for a relaxed structure of U6GeSe12.

Lattice parameters (Å, degrees): 8.220 8.220 8.220 100.22 100.22 100.22
Atoms (fractional coordinates):
U1 0.131 0.626 0.300
Se1 0.954 0.320 0.060
Se2 0.680 0.940 0.046
Se3 0.428 0.574 0.177
Se4 0.940 0.046 0.680
Se5 0.046 0.680 0.940
U2 0.700 0.869 0.374
U3 0.869 0.374 0.700
Ge1 0.000 0.000 0.000
Se6 0.572 0.426 0.823
Se7 0.574 0.177 0.428
U4 0.626 0.300 0.131
U5 0.300 0.131 0.626
Se8 0.426 0.823 0.572
Se9 0.177 0.428 0.574
Se10 0.823 0.572 0.426
Se11 0.320 0.060 0.954
Se12 0.060 0.954 0.320
U6 0.374 0.700 0.869

Summary:
As for the space group: R-3 (148). For the calculated volume, the calculation gives 27.64 A^3/atom. Its uncorrected formation energy is -97.08 kJ per mole of atoms.